[1]
Entry from the Alexandria database: a relaxed NaAl2B2 crystal (PBE-GGA).

a b c (Å): 6.927 6.927 2.611
angles (deg): 90.00 90.00 90.00
Space group P4/mbm (No. 127)
Unique sites:
Na 0.000 0.000 0.000
Al 0.138 0.362 0.500
B 0.156 0.656 0.000

Excess energy over the best structure of this formula in the dataset (eV/f.u.): 2.24
ρ (g/cm³): 2.6
DFT total energy (eV/atom): -3.83
Formation energy from the elements (kJ per mole of atoms): 58.51

***

[2]
Entry from the Alexandria database: a relaxed NaAl4B3O12 crystal (PBE-GGA).

a b c (Å): 6.884 6.884 6.884
angles (deg): 90.00 90.00 90.00
Space group Im-3 (No. 204)
Unique sites:
Na 0.000 0.000 0.000
Al 0.250 0.250 0.250
B 0.000 0.000 0.500
O 0.000 0.334 0.158

Uncorrected formation energy (eV/atom): -1.985
ρ (g/cm³): 3.6
DFT total energy (eV/atom): -6.78

***

[3]
Entry from the Alexandria database: a relaxed NaAl3B4O12 crystal (PBE-GGA).

a b c (Å): 9.3608 9.3608 7.4418
angles (deg): 90.00 90.00 120.00
Space group R32 (No. 155, hexagonal axes)
Unique sites:
Na 0.0000 0.0000 0.0000
Al 0.0000 0.5584 0.0000
B 0.0000 0.0000 0.5000
B 0.0000 0.4435 0.5000
O 0.0000 0.5918 0.5000
O 0.0000 0.8518 0.5000
O 0.0341 0.2242 0.1964

Uncorrected formation energy (eV/atom): -2.420
ρ (g/cm³): 3.0
DFT total energy (eV/atom): -7.36

***

[4]
Entry from the Alexandria database: a relaxed Na2Al2B2O7 crystal (PBE-GGA).

a b c (Å): 4.863 8.415 15.464
angles (deg): 90.00 90.45 90.00
Space group Cc (No. 9)
Unique sites:
Na 0.000 0.009 0.000
Na 0.466 0.488 0.251
Al 0.020 0.345 0.861
Al 0.499 0.180 0.141
B 0.009 0.312 0.395
B 0.479 0.153 0.606
O 0.075 0.315 0.751
O 0.130 0.460 0.387
O 0.167 0.176 0.385
O 0.233 0.205 0.914
O 0.259 0.335 0.120
O 0.316 0.284 0.588
O 0.355 0.005 0.611

Uncorrected formation energy (eV/atom): -2.576
ρ (g/cm³): 2.5
DFT total energy (eV/atom): -7.05

***

[5]
Entry from the Alexandria database: a relaxed Na2Al2B2O7 crystal (PBE-GGA).

a b c (Å): 4.867 15.553 4.869
angles (deg): 90.00 119.74 90.00
Space group P2_1/m (No. 11)
Unique sites:
Na 0.000 0.000 0.000
Na 0.029 0.250 0.045
Al 0.338 0.639 0.676
B 0.324 0.104 0.665
O 0.029 0.104 0.641
O 0.333 0.750 0.714
O 0.348 0.112 0.393
O 0.407 0.597 0.043

Uncorrected formation energy (eV/atom): -2.574
ρ (g/cm³): 2.4
DFT total energy (eV/atom): -7.05

***

[6]
Entry from the Alexandria database: a relaxed Na2AlBO4 crystal (PBE-GGA).

a b c (Å): 4.391 10.367 18.575
angles (deg): 90.00 90.00 90.00
Space group Fddd (No. 70, origin choice 2)
Unique sites:
Na 0.125 0.125 0.307
Al 0.125 0.125 0.125
B 0.125 0.125 0.625
O 0.085 0.289 0.831

Uncorrected formation energy (eV/atom): -2.112
ρ (g/cm³): 2.3
DFT total energy (eV/atom): -6.22

***

[7]
Entry from the Alexandria database: a relaxed Na3AlB2O6 crystal (PBE-GGA).

a b c (Å): 5.0513 5.0513 5.9579
angles (deg): 90.00 90.00 120.00
Space group P-3m1 (No. 164)
Unique sites:
Na 0.0000 0.0000 0.0000
Na 0.3333 0.6667 0.7386
Al 0.0000 0.0000 0.5000
B 0.3333 0.6667 0.3026
O 0.1752 0.3504 0.3010

Uncorrected formation energy (eV/atom): -2.305
ρ (g/cm³): 2.7
DFT total energy (eV/atom): -6.54

***

[8]
Entry from the Alexandria database: a relaxed NaAl2B2O7 crystal (PBE-GGA).

a b c (Å): 4.9178 4.9178 23.7660
angles (deg): 90.00 90.00 120.00
Space group R32 (No. 155, hexagonal axes)
Unique sites:
Na 0.0000 0.0000 0.0000
Al 0.0000 0.0000 0.4273
B 0.0000 0.0000 0.2657
O 0.0000 0.0000 0.5000
O 0.0340 0.4121 0.9334

Uncorrected formation energy (eV/atom): -2.437
ρ (g/cm³): 2.1
DFT total energy (eV/atom): -7.18